# 1
Er8Mg: relaxed, PBE-GGA.

Cell and atoms, written as CIF:
```
data_Er8Mg
_space_group_name_H-M_alt 'I 4/m m m'
_space_group_IT_number 139
_space_group_name_Hall '-I 4 2'
_cell_length_a 12.0278
_cell_length_b 12.0278
_cell_length_c 3.7198
_cell_angle_alpha 90.00
_cell_angle_beta 90.00
_cell_angle_gamma 90.00
loop_
_atom_site_label
_atom_site_type_symbol
_atom_site_fract_x
_atom_site_fract_y
_atom_site_fract_z
Er1 Er 0.0000 0.3365 0.0000
Er2 Er 0.1601 0.1601 0.5000
Mg1 Mg 0.0000 0.0000 0.0000
```

Output
total moment: 0.0 μB per formula unit
formation enthalpy at 0 K: 80 meV/atom

# 2
Dy2InRuC: relaxed, PBE-GGA.

Cell and atoms, written as CIF:
```
data_Dy2InRuC
_space_group_name_H-M_alt 'P 4/m m m'
_space_group_IT_number 123
_space_group_name_Hall '-P 4 2'
_cell_length_a 5.0236
_cell_length_b 5.0236
_cell_length_c 3.9523
_cell_angle_alpha 90.00
_cell_angle_beta 90.00
_cell_angle_gamma 90.00
loop_
_atom_site_label
_atom_site_type_symbol
_atom_site_fract_x
_atom_site_fract_y
_atom_site_fract_z
Dy1 Dy 0.0000 0.5000 0.0000
In1 In 0.0000 0.0000 0.5000
Ru1 Ru 0.5000 0.5000 0.5000
C1 C 0.5000 0.5000 0.0000
```

Output
total moment: 0.0 μB per formula unit
formation enthalpy at 0 K: -420 meV/atom

# 3
Pm5SmIr3: relaxed, PBE-GGA.

Cell and atoms, written as CIF:
```
data_Pm5SmIr3
_space_group_name_H-M_alt 'C 1 2/m 1'
_space_group_IT_number 12
_cell_length_a 12.7272
_cell_length_b 9.4526
_cell_length_c 10.3548
_cell_angle_alpha 90.00
_cell_angle_beta 113.46
_cell_angle_gamma 90.00
loop_
_space_group_symop_operation_xyz
'x,y,z'
'-x,-y,-z'
'-x,y,-z'
'x,-y,z'
'x+1/2,y+1/2,z'
'-x+1/2,-y+1/2,-z'
'-x+1/2,y+1/2,-z'
'x+1/2,-y+1/2,z'
loop_
_atom_site_label
_atom_site_type_symbol
_atom_site_fract_x
_atom_site_fract_y
_atom_site_fract_z
Pm1 Pm 0.0000 0.1977 0.0000
Pm2 Pm 0.0666 0.0000 0.3687
Pm3 Pm 0.1014 0.5000 0.2986
Pm4 Pm 0.1662 0.3023 0.6677
Sm1 Sm 0.2322 0.5000 0.0348
Ir1 Ir 0.0000 0.5000 0.0000
Ir2 Ir 0.0000 0.5000 0.5000
Ir3 Ir 0.1663 0.0000 0.6677
Ir4 Ir 0.1671 0.0000 0.1660
```

Output
total moment: 0.0 μB per formula unit
formation enthalpy at 0 K: -520 meV/atom

# 4
VSi2Tc2: relaxed, PBE-GGA.

Cell and atoms, written as CIF:
```
data_VSi2Tc2
_space_group_name_H-M_alt 'P 4/m b m'
_space_group_IT_number 127
_space_group_name_Hall '-P 4 2ab'
_cell_length_a 6.7337
_cell_length_b 6.7337
_cell_length_c 3.0080
_cell_angle_alpha 90.00
_cell_angle_beta 90.00
_cell_angle_gamma 90.00
loop_
_atom_site_label
_atom_site_type_symbol
_atom_site_fract_x
_atom_site_fract_y
_atom_site_fract_z
V1 V 0.0000 0.0000 0.0000
Si1 Si 0.1401 0.3599 0.0000
Tc1 Tc 0.1556 0.6556 0.5000
```

Output
total moment: 0.0 μB per formula unit
ΔE_f (raw): -0.353 eV/atom

Q: Look up the total moment of the second one.
A: 0.0 μB per formula unit